(1)
LiAg8 (GGA-PBE, optimized geometry); final energy = -2.804 eV/atom; E_form = -57 meV per atom
1.0
-4.385 4.385 2.047
4.385 -4.385 2.047
4.385 4.385 -2.047
Li Ag
1 8
Direct
0.000 0.000 0.000
0.000 0.331 0.331
0.000 0.669 0.669
0.331 0.000 0.331
0.336 0.336 0.671
0.336 0.664 0.000
0.664 0.336 0.000
0.664 0.664 0.329
0.669 0.000 0.669

(2)
Li2Ag (GGA-PBE, optimized geometry); final energy = -2.230 eV/atom; E_form = -3 meV per atom
1.0
0.000 3.131 3.131
3.131 0.000 3.131
3.131 3.131 0.000
Li Ag
2 1
Direct
0.250 0.250 0.250
0.750 0.750 0.750
0.000 0.000 0.000

(3)
Li4Ag (GGA-PBE, optimized geometry); final energy = -2.223 eV/atom; E_form = -121 meV per atom
1.0
-3.207 3.207 2.098
3.207 -3.207 2.098
3.207 3.207 -2.098
Li Ag
4 1
Direct
0.106 0.292 0.398
0.292 0.894 0.186
0.708 0.106 0.814
0.894 0.708 0.602
0.500 0.500 0.000

(4)
Li7Ag4 (GGA-PBE, optimized geometry); final energy = -2.335 eV/atom; E_form = -80 meV per atom
1.0
7.643 0.000 0.000
-3.822 6.619 0.000
0.000 0.000 4.092
Li Ag
7 4
Direct
0.000 0.000 0.000
0.195 0.390 0.500
0.195 0.805 0.500
0.532 0.064 0.000
0.532 0.468 0.000
0.610 0.805 0.500
0.936 0.468 0.000
0.333 0.667 0.000
0.410 0.205 0.500
0.795 0.205 0.500
0.795 0.590 0.500

(5)
Li6Ag (GGA-PBE, optimized geometry); final energy = -2.051 eV/atom; E_form = -3 meV per atom
1.0
4.517 0.000 0.000
0.000 4.517 0.000
0.000 0.000 6.592
Li Ag
6 1
Direct
0.000 0.000 0.000
0.000 0.500 0.250
0.000 0.500 0.750
0.500 0.000 0.250
0.500 0.000 0.750
0.500 0.500 0.500
0.000 0.000 0.500

(6)
Li2Ag3 (GGA-PBE, optimized geometry); final energy = -2.493 eV/atom; E_form = -17 meV per atom
1.0
4.334 0.000 0.000
-2.167 3.753 0.000
0.000 0.000 5.410
Li Ag
2 3
Direct
0.333 0.667 0.333
0.667 0.333 0.667
0.000 0.000 0.500
0.333 0.667 0.842
0.667 0.333 0.158